Entry 1:
# CsTl3P

CsTl3P after structural relaxation (GGA-PBEsol, the Alexandria database).

Calculated values
Space-group type: Pm-3m, No. 221
Energy above the most stable polymorph in this dataset in meV per atom: 1149.6

a b c (Å): 6.1472 6.1472 6.1472
angles (deg): 90.00 90.00 90.00
With the nearest neighbours (Å) after each atom.
Sites, in units of the cell vectors:
1 Cs 0.0000 0.0000 0.0000  6 Tl 3.07
2 Tl 0.5000 0.0000 0.0000  2 Cs 3.07
3 Tl 0.0000 0.0000 0.5000  2 Cs 3.07
4 Tl 0.0000 0.5000 0.0000  2 Cs 3.07
5 P 0.5000 0.5000 0.5000  12 Tl 4.35

---

Entry 2:
# Ta2CrMo

Ta2CrMo after structural relaxation (GGA-PBEsol, the Alexandria database).

Calculated values
Space-group type: P4/mmm, No. 123

a b c (Å): 3.1309 3.1309 6.2614
angles (deg): 90.00 90.00 90.00
With the nearest neighbours (Å) after each atom.
Sites, in units of the cell vectors:
1 Ta 0.0000 0.0000 0.2418  4 Cr 2.68, 4 Mo 2.74
2 Ta 0.0000 0.0000 0.7582  4 Cr 2.68, 4 Mo 2.74
3 Cr 0.5000 0.5000 0.0000  8 Ta 2.68
4 Mo 0.5000 0.5000 0.5000  8 Ta 2.74

---

Number 1: E_tot -1.568 eV per atom. Number 2: E_tot -11.863 eV per atom.